[1]
YAsO4F | PBE-GGA | relaxed

The space group is C2/m (No. 12) and the conventional cell measures 9.520, 7.231 and 6.770 Å, with angles of 90.00, 107.28 and 90.00 degrees. The asymmetric unit holds Y at (0.201, 0.000, 0.104), As at (0.146, 0.500, 0.275), O at (0.042, 0.500, 0.782), O at (0.204, 0.319, 0.154), O at (0.222, 0.500, 0.534) and F at (0.011, 0.000, 0.819).

Its magnetic moment is 1.0 μB per formula unit. The calculation puts the uncorrected energy at -6.800 eV per atom. Its uncorrected formation energy is -2112 meV/atom.

***

[2]
YAsOF2 | PBE-GGA | relaxed

The space group is P4/mmm (No. 123) and the conventional cell measures 4.573, 4.573 and 3.903 Å, with angles of 90.00, 90.00 and 90.00 degrees. The asymmetric unit holds Y at (0.000, 0.000, 0.000), As at (0.500, 0.500, 0.500), O at (0.500, 0.500, 0.000) and F at (0.000, 0.500, 0.500).

Its magnetic moment is 0.0 μB per formula unit. Its energy above the most stable polymorph in this dataset is 0.771 eV per atom. The calculation puts the uncorrected energy at -5.333 eV per atom. Its uncorrected formation energy is -1370 meV/atom.

***

[3]
YAsOF2 | PBE-GGA | relaxed

The space group is P4/mmm (No. 123) and the conventional cell measures 4.365, 4.365 and 4.575 Å, with angles of 90.00, 90.00 and 90.00 degrees. The asymmetric unit holds Y at (0.000, 0.000, 0.000), As at (0.500, 0.500, 0.500), O at (0.000, 0.000, 0.500) and F at (0.000, 0.500, 0.000).

Its magnetic moment is 2.0 μB per formula unit. Its energy above the most stable polymorph in this dataset is 0.000 eV per atom. The calculation puts the uncorrected energy at -6.103 eV per atom. Its uncorrected formation energy is -2140 meV/atom.

***

[4]
ZnAsO2F | PBE-GGA | relaxed

The space group is P4/mmm (No. 123) and the conventional cell measures 3.957, 3.957 and 4.094 Å, with angles of 90.00, 90.00 and 90.00 degrees. The asymmetric unit holds Zn at (0.000, 0.000, 0.000), As at (0.500, 0.500, 0.500), O at (0.000, 0.500, 0.500) and F at (0.500, 0.500, 0.000).

Its magnetic moment is 0.0 μB per formula unit. The calculation puts the uncorrected energy at -4.288 eV per atom. Its uncorrected formation energy is -746 meV/atom.

***

[5]
ZnAsO2F | PBE-GGA | relaxed

The space group is P4/mmm (No. 123) and the conventional cell measures 3.952, 3.952 and 3.834 Å, with angles of 90.00, 90.00 and 90.00 degrees. The asymmetric unit holds Zn at (0.000, 0.000, 0.000), As at (0.500, 0.500, 0.500), O at (0.000, 0.500, 0.000) and F at (0.000, 0.000, 0.500).

Its magnetic moment is 0.0 μB per formula unit. The calculation puts the uncorrected energy at -4.098 eV per atom. Its uncorrected formation energy is -556 meV/atom.

***

[6]
ZrAsO2F | PBE-GGA | relaxed

The space group is P4/mmm (No. 123) and the conventional cell measures 4.113, 4.113 and 4.123 Å, with angles of 90.00, 90.00 and 90.00 degrees. The asymmetric unit holds Zr at (0.000, 0.000, 0.000), As at (0.500, 0.500, 0.500), O at (0.000, 0.500, 0.500) and F at (0.500, 0.500, 0.000).

Its magnetic moment is 1.9 μB per formula unit. The calculation puts the uncorrected energy at -5.847 eV per atom. Its uncorrected formation energy is -850 meV/atom.

***

[7]
ZrAs2OF | PBE-GGA | relaxed

The space group is P4/mmm (No. 123) and the conventional cell measures 4.351, 4.351 and 4.376 Å, with angles of 90.00, 90.00 and 90.00 degrees. The asymmetric unit holds Zr at (0.000, 0.000, 0.000), As at (0.000, 0.500, 0.500), O at (0.000, 0.000, 0.500) and F at (0.500, 0.500, 0.000).

Its magnetic moment is 0.0 μB per formula unit. The calculation puts the uncorrected energy at -5.546 eV per atom. Its uncorrected formation energy is -611 meV/atom.

***

[8]
ZrAsO2F | PBE-GGA | relaxed

The space group is P4/mmm (No. 123) and the conventional cell measures 4.186, 4.186 and 4.226 Å, with angles of 90.00, 90.00 and 90.00 degrees. The asymmetric unit holds Zr at (0.000, 0.000, 0.000), As at (0.500, 0.500, 0.500), O at (0.000, 0.500, 0.000) and F at (0.000, 0.000, 0.500).

Its magnetic moment is 0.6 μB per formula unit. The calculation puts the uncorrected energy at -6.799 eV per atom. Its uncorrected formation energy is -1802 meV/atom.

***

Copy entry 7 word for word.
ZrAs2OF | PBE-GGA | relaxed

The space group is P4/mmm (No. 123) and the conventional cell measures 4.351, 4.351 and 4.376 Å, with angles of 90.00, 90.00 and 90.00 degrees. The asymmetric unit holds Zr at (0.000, 0.000, 0.000), As at (0.000, 0.500, 0.500), O at (0.000, 0.000, 0.500) and F at (0.500, 0.500, 0.000).

Its magnetic moment is 0.0 μB per formula unit. The calculation puts the uncorrected energy at -5.546 eV per atom. Its uncorrected formation energy is -611 meV/atom.

***

> Which of these has the highest uncorrected energy?

number 5